1.
Material: Y2ZnPb
Method: DFT, PBE
State: optimized geometry

abc: 3.669 4.853 6.303
angles: 90.00 90.00 90.00
Atoms (fractional coordinates):
1 Y 0.000 0.000 0.000
2 Y 0.500 0.500 0.345
3 Zn 0.000 0.000 0.467
4 Pb 0.500 0.500 0.833

- ρ (g/cm3) = 6.666
- SG = No. 25
- ΔH_f (0 K) (kcal/mol of atoms) = -4.98
- V (Å³ per atom) = 28.05

---

2.
Material: YZn2Pb
Method: DFT, PBE
State: optimized geometry

abc: 5.511 5.511 5.511
angles: 132.10 132.10 70.08
Atoms (fractional coordinates):
1 Y 0.000 0.000 0.000
2 Zn 0.250 0.750 0.500
3 Zn 0.750 0.250 0.500
4 Pb 0.500 0.500 0.000

- ρ (g/cm3) = 7.847
- SG = No. 139
- ΔH_f (0 K) (kcal/mol of atoms) = -4.49
- V (Å³ per atom) = 22.59